The following is a DFT calculation (PBE) of a geometry-optimized Ac4Pr3UP8 structure.

Calculated values
For the calculated density, the calculation gives 6.8 Mg/m³. Its final energy is -6.72 eV per atom.

a b c (Å): 8.560 8.595 8.560
angles (deg): 119.87 120.00 90.00
Each line ends with the local moment (μB).
Fractional positions:
Ac: 0.500 0.000 0.000  0.02
Ac: 0.500 0.000 0.500  0.01
Ac: 0.000 0.000 0.000  0.01
Ac: 0.000 0.000 0.500  0.01
Pr: 0.500 0.500 0.000  0.01
Pr: 0.500 0.500 0.500  0.01
Pr: 0.000 0.500 0.500  0.01
U: 0.000 0.500 0.000  1.96
P: 0.237 0.728 0.992  -0.03
P: 0.237 0.728 0.473  -0.03
P: 0.254 0.262 0.508  0.01
P: 0.755 0.728 0.992  -0.03
P: 0.245 0.272 0.008  -0.03
P: 0.746 0.738 0.492  0.01
P: 0.763 0.272 0.527  -0.03
P: 0.763 0.272 0.008  -0.03